{
  "formula": "Re3Rh2",
  "functional": "GGA-PBE",
  "state": "optimized geometry",
  "lattice": [[-1.626, 1.626, 7.031], [1.626, -1.626, 7.031], [1.626, 1.626, -7.031]],
  "species": ["Re", "Re", "Re", "Rh", "Rh"],
  "fractional_positions": [[0.000, 0.000, 0.000], [0.398, 0.398, 0.000], [0.602, 0.602, 0.000], [0.198, 0.198, 0.000], [0.802, 0.802, 0.000]],
  "total_energy_ev_per_atom": -10.178,
  "formation_enthalpy_0k_ev_per_atom": 0.2317
}